1.
Below is a geometry-optimized BaCa2Au2 structure, with properties calculated at the PBE level.

It has space group P4/mbm (No. 127), with a = 8.4264 Å, b = 8.4264 Å, c = 4.3176 Å, α = 90.00°, β = 90.00° and γ = 90.00°. The distinct sites, in fractional coordinates, are Ba at (0.0000, 0.0000, 0.0000), Ca at (0.1526, 0.3474, 0.5000) and Au at (0.1291, 0.6291, 0.0000).

For the energy relative to the lowest polymorph listed for this composition, the calculation gives 43 meV per atom. Its crystal system is tetragonal. The calculation puts the formation energy at -0.60 eV per atom. Its total energy is -3.094 eV/atom.

---

2.
Below is a geometry-optimized Ho4AlZn2Rh structure, with properties calculated at the PBE level.

It has space group R-3m (No. 166, hexagonal axes), with a = 4.9864 Å, b = 4.9864 Å, c = 24.3042 Å, α = 90.00°, β = 90.00° and γ = 120.00°. The distinct sites, in fractional coordinates, are Ho at (0.0000, 0.0000, 0.1194), Ho at (0.0000, 0.0000, 0.3711), Al at (0.0000, 0.0000, 0.5000), Zn at (0.0000, 0.0000, 0.2432) and Rh at (0.0000, 0.0000, 0.0000).

Its crystal system is trigonal. The calculation puts the formation energy at -0.52 eV per atom. Its total energy is -4.511 eV/atom.

---

3.
Below is a geometry-optimized CaTe2SI structure, with properties calculated at the PBE level.

It has space group P4/mmm (No. 123), with a = 5.3202 Å, b = 5.3202 Å, c = 5.6051 Å, α = 90.00°, β = 90.00° and γ = 90.00°. The distinct sites, in fractional coordinates, are Ca at (0.0000, 0.0000, 0.0000), Te at (0.0000, 0.5000, 0.5000), S at (0.5000, 0.5000, 0.5000) and I at (0.5000, 0.5000, 0.0000).

For the energy relative to the lowest polymorph listed for this composition, the calculation gives 0 meV per atom. Its crystal system is tetragonal. For the energy relative to the elements, uncorrected, the calculation gives -0.293 eV/atom. Its total energy is -3.085 eV/atom.

---

4.
Below is a geometry-optimized H3Br2 structure, with properties calculated at the PBE level.

It has space group Fmmm (No. 69), with a = 3.2173 Å, b = 7.7208 Å, c = 14.6639 Å, α = 90.00°, β = 90.00° and γ = 90.00°. The distinct sites, in fractional coordinates, are H at (0.0000, 0.0000, 0.0000), H at (0.0000, 0.0000, 0.1596) and Br at (0.0000, 0.0000, 0.3864).

Its crystal system is orthorhombic. Its total energy is -2.261 eV/atom.

---

5.
Below is a geometry-optimized BiBPd3 structure, with properties calculated at the PBE level.

It has space group Pnma (No. 62), with a = 5.5244 Å, b = 7.4898 Å, c = 8.1117 Å, α = 90.00°, β = 90.00° and γ = 90.00°. The distinct sites, in fractional coordinates, are Bi at (0.0000, 0.0000, 0.0000), B at (0.0397, 0.2500, 0.4566), Pd at (0.0022, 0.0685, 0.6552) and Pd at (0.2333, 0.2500, 0.2210).

For the energy relative to the lowest polymorph listed for this composition, the calculation gives 157 meV per atom. Its crystal system is orthorhombic. The calculation puts the formation energy at -0.04 eV per atom. Its total energy is -5.269 eV/atom.

---

6.
Below is a geometry-optimized NbC2SeBr structure, with properties calculated at the PBE level.

It has space group P4/mmm (No. 123), with a = 3.9383 Å, b = 3.9383 Å, c = 5.0380 Å, α = 90.00°, β = 90.00° and γ = 90.00°. The distinct sites, in fractional coordinates, are Nb at (0.0000, 0.0000, 0.0000), C at (0.0000, 0.5000, 0.5000), Se at (0.5000, 0.5000, 0.0000) and Br at (0.5000, 0.5000, 0.5000).

Its crystal system is tetragonal. For the energy relative to the elements, uncorrected, the calculation gives 2.658 eV/atom. Its total energy is -4.077 eV/atom.

---

7.
Below is a geometry-optimized CeMg6Sc2 structure, with properties calculated at the PBE level.

It has space group P6/mmm (No. 191), with a = 8.9369 Å, b = 8.9369 Å, c = 3.1537 Å, α = 90.00°, β = 90.00° and γ = 120.00°. The distinct sites, in fractional coordinates, are Ce at (0.0000, 0.0000, 0.0000), Mg at (0.0000, 0.3394, 0.5000) and Sc at (0.3333, 0.6667, 0.0000).

Its crystal system is hexagonal. The calculation puts the formation energy at 0.00 eV per atom. Its total energy is -3.132 eV/atom.

---

8.
Below is a geometry-optimized Tb3Dy7Th structure, with properties calculated at the PBE level.

It has space group C2/m (No. 12), with a = 6.9453 Å, b = 18.5036 Å, c = 6.5277 Å, α = 90.00°, β = 121.44° and γ = 90.00°. The distinct sites, in fractional coordinates, are Tb at (0.0000, 0.0000, 0.0000), Tb at (0.2500, 0.2500, 0.5000), Dy at (0.0000, 0.0000, 0.5000), Dy at (0.0000, 0.4131, 0.5000), Dy at (0.2239, 0.1611, 0.9440) and Th at (0.0000, 0.5000, 0.0000).

For the energy relative to the lowest polymorph listed for this composition, the calculation gives 0 meV per atom. Its crystal system is monoclinic. The calculation puts the formation energy at 0.16 eV per atom. Its total energy is -4.707 eV/atom.